(1)
Here is a relaxed structure of PPbSe2Br from Alexandria via LeMat-Bulk. Energies are from PBEsol.

a = 5.4110 Å, b = 5.4110 Å, c = 5.4620 Å
α = 90.00°, β = 90.00°, γ = 90.00°
Fractional positions:
P 0.0000 0.0000 0.0000
Pb 0.5000 0.5000 0.5000
Se 0.0000 0.5000 0.5000
Se 0.5000 0.0000 0.5000
Br 0.5000 0.5000 0.0000

Calculated total energy ... -14.86 eV for the cell shown
Formation energy without anion corrections ... 900 meV per atom
Magnetization ... 1.21 μB/f.u.



(2)
Here is a relaxed structure of PPdRhBr2 from Alexandria via LeMat-Bulk. Energies are from PBEsol.

a = 5.0741 Å, b = 5.0741 Å, c = 4.4276 Å
α = 90.00°, β = 90.00°, γ = 90.00°
Fractional positions:
P 0.0000 0.0000 0.0000
Pd 0.0000 0.0000 0.5000
Rh 0.5000 0.5000 0.0000
Br 0.0000 0.5000 0.5000
Br 0.5000 0.0000 0.5000

Calculated total energy ... -19.00 eV for the cell shown
Formation energy without anion corrections ... 927 meV per atom
Magnetization ... 1.51 μB/f.u.



(3)
Here is a relaxed structure of Pr3PBr3 from Alexandria via LeMat-Bulk. Energies are from PBEsol.

a = 10.1739 Å, b = 10.1739 Å, c = 10.1739 Å
α = 109.47°, β = 109.47°, γ = 109.47°
Fractional positions:
Pr 0.0121 0.0242 0.2621
Pr 0.0121 0.4879 0.7500
Pr 0.0242 0.2621 0.0121
Pr 0.2379 0.2621 0.7500
Pr 0.2379 0.4758 0.4879
Pr 0.2621 0.0121 0.0242
Pr 0.2621 0.7500 0.2379
Pr 0.4758 0.4879 0.2379
Pr 0.4879 0.2379 0.4758
Pr 0.4879 0.7500 0.0121
Pr 0.7500 0.0121 0.4879
Pr 0.7500 0.2379 0.2621
P 0.0000 0.2500 0.5000
P 0.2500 0.2500 0.2500
P 0.2500 0.5000 0.0000
P 0.5000 0.0000 0.2500
Br 0.2500 0.7575 0.7425
Br 0.2500 0.9925 0.5075
Br 0.5075 0.2500 0.9925
Br 0.5075 0.7575 0.5150
Br 0.5150 0.5075 0.7575
Br 0.7425 0.2500 0.7575
Br 0.7425 0.9925 0.9850
Br 0.7575 0.5150 0.5075
Br 0.7575 0.7425 0.2500
Br 0.9850 0.7425 0.9925
Br 0.9925 0.5075 0.2500
Br 0.9925 0.9850 0.7425

Calculated total energy ... -154.92 eV for the cell shown
Formation energy without anion corrections ... -1682 meV per atom
Magnetization ... 0.00 μB/f.u.



(4)
Here is a relaxed structure of PPtBr from Alexandria via LeMat-Bulk. Energies are from PBEsol.

a = 4.3545 Å, b = 4.3545 Å, c = 4.3545 Å
α = 60.00°, β = 60.00°, γ = 60.00°
Fractional positions:
P 0.0000 0.0000 0.0000
Pt 0.2500 0.2500 0.2500
Br 0.7500 0.7500 0.7500

Calculated total energy ... -12.33 eV for the cell shown
Formation energy without anion corrections ... 766 meV per atom
Magnetization ... 0.00 μB/f.u.



(5)
Here is a relaxed structure of P2PtBr from Alexandria via LeMat-Bulk. Energies are from PBEsol.

a = 4.5067 Å, b = 4.5067 Å, c = 4.5067 Å
α = 60.00°, β = 60.00°, γ = 60.00°
Fractional positions:
P 0.0000 0.0000 0.0000
P 0.2500 0.2500 0.2500
Pt 0.7500 0.7500 0.7500
Br 0.5000 0.5000 0.5000

Calculated total energy ... -17.44 eV for the cell shown
Formation energy without anion corrections ... 744 meV per atom
Energy above the lowest structure with this stoichiometry ... 474 meV per atom
Magnetization ... 0.00 μB/f.u.



(6)
Here is a relaxed structure of P2PtBr from Alexandria via LeMat-Bulk. Energies are from PBEsol.

a = 3.2054 Å, b = 3.2054 Å, c = 6.9167 Å
α = 90.00°, β = 90.00°, γ = 90.00°
Fractional positions:
P 0.0000 0.0000 0.0000
P 0.5000 0.5000 0.1372
Pt 0.0000 0.0000 0.3411
Br 0.5000 0.5000 0.6140

Calculated total energy ... -19.34 eV for the cell shown
Formation energy without anion corrections ... 270 meV per atom
Energy above the lowest structure with this stoichiometry ... 0 meV per atom
Magnetization ... 0.00 μB/f.u.



(7)
Here is a relaxed structure of PPtS2Br from Alexandria via LeMat-Bulk. Energies are from PBEsol.

a = 4.5822 Å, b = 4.5822 Å, c = 4.8500 Å
α = 90.00°, β = 90.00°, γ = 90.00°
Fractional positions:
P 0.0000 0.0000 0.0000
Pt 0.5000 0.5000 0.0000
S 0.0000 0.5000 0.5000
S 0.5000 0.0000 0.5000
Br 0.0000 0.0000 0.5000

Calculated total energy ... -15.10 eV for the cell shown
Formation energy without anion corrections ... 1659 meV per atom
Magnetization ... 0.00 μB/f.u.



(8)
Here is a relaxed structure of P2PtSBr from Alexandria via LeMat-Bulk. Energies are from PBEsol.

a = 4.6411 Å, b = 4.6411 Å, c = 4.7694 Å
α = 90.00°, β = 90.00°, γ = 90.00°
Fractional positions:
P 0.0000 0.5000 0.0000
P 0.5000 0.0000 0.0000
Pt 0.0000 0.0000 0.0000
S 0.0000 0.0000 0.5000
Br 0.5000 0.5000 0.5000

Calculated total energy ... -21.21 eV for the cell shown
Formation energy without anion corrections ... 718 meV per atom
Magnetization ... 0.00 μB/f.u.



Question: Look up the calculated total energy of the third one.
Answer: -154.92 eV for the cell shown



Repeat the seventh record exactly.
Here is a relaxed structure of PPtS2Br from Alexandria via LeMat-Bulk. Energies are from PBEsol.

a = 4.5822 Å, b = 4.5822 Å, c = 4.8500 Å
α = 90.00°, β = 90.00°, γ = 90.00°
Fractional positions:
P 0.0000 0.0000 0.0000
Pt 0.5000 0.5000 0.0000
S 0.0000 0.5000 0.5000
S 0.5000 0.0000 0.5000
Br 0.0000 0.0000 0.5000

Calculated total energy ... -15.10 eV for the cell shown
Formation energy without anion corrections ... 1659 meV per atom
Magnetization ... 0.00 μB/f.u.



What did the fifth record say?
Here is a relaxed structure of P2PtBr from Alexandria via LeMat-Bulk. Energies are from PBEsol.

a = 4.5067 Å, b = 4.5067 Å, c = 4.5067 Å
α = 60.00°, β = 60.00°, γ = 60.00°
Fractional positions:
P 0.0000 0.0000 0.0000
P 0.2500 0.2500 0.2500
Pt 0.7500 0.7500 0.7500
Br 0.5000 0.5000 0.5000

Calculated total energy ... -17.44 eV for the cell shown
Formation energy without anion corrections ... 744 meV per atom
Energy above the lowest structure with this stoichiometry ... 474 meV per atom
Magnetization ... 0.00 μB/f.u.